[1]
This record from Alexandria via LeMat-Bulk describes a relaxed TcNi2Hg2 crystal. The functional is GGA-PBEsol.

a = 3.884 Å, b = 3.884 Å, c = 6.219 Å
α = 108.20°, β = 108.20°, γ = 90.00°
Fractional coordinates of all 5 atoms:
Hg 0.250 0.750 0.500
Hg 0.750 0.250 0.500
Tc 0.000 0.000 0.000
Ni 0.404 0.404 0.808
Ni 0.596 0.596 0.192

Output
formation energy from the elements: 440 kJ/mol of formula units
VASP energy: -4.031 eV/atom

[2]
This record from Alexandria via LeMat-Bulk describes a relaxed LiFeSb2 crystal. The functional is GGA-PBEsol.

a = 3.178 Å, b = 4.858 Å, c = 4.858 Å
α = 100.45°, β = 94.46°, γ = 94.46°
Fractional coordinates of all 4 atoms:
Fe 0.500 0.500 0.500
Sb 0.000 0.000 0.500
Sb 0.000 0.500 0.000
Li 0.500 0.000 0.000

Output
VASP energy: -4.912 eV/atom
offset from the most stable computed form: 92 meV/atom
formation energy without anion corrections: 99 meV/atom

[3]
This record from Alexandria via LeMat-Bulk describes a relaxed Fe2PbW crystal. The functional is GGA-PBEsol.

a = 2.968 Å, b = 2.968 Å, c = 7.066 Å
α = 90.00°, β = 90.00°, γ = 90.00°
Fractional coordinates of all 4 atoms:
Pb 0.000 0.000 0.482
Fe 0.500 0.500 0.195
Fe 0.000 0.000 0.014
W 0.500 0.500 0.809

Output
formation energy from the elements: 220 kJ/mol of formula units
VASP energy: -8.363 eV/atom

[4]
This record from Alexandria via LeMat-Bulk describes a relaxed RbSiAu3 crystal. The functional is GGA-PBEsol.

a = 4.886 Å, b = 4.886 Å, c = 4.886 Å
α = 90.00°, β = 90.00°, γ = 90.00°
Fractional coordinates of all 5 atoms:
Au 0.500 0.000 0.000
Au 0.000 0.500 0.000
Au 0.000 0.000 0.500
Rb 0.500 0.500 0.500
Si 0.000 0.000 0.000

Output
VASP energy: -3.831 eV/atom
formation energy without anion corrections: -123 meV/atom

[5]
This record from Alexandria via LeMat-Bulk describes a relaxed Sr4LiCl crystal. The functional is GGA-PBEsol.

a = 7.597 Å, b = 7.597 Å, c = 7.597 Å
α = 60.00°, β = 60.00°, γ = 60.00°
Fractional coordinates of all 6 atoms:
Sr 0.374 0.877 0.374
Sr 0.877 0.374 0.374
Sr 0.374 0.374 0.877
Sr 0.374 0.374 0.374
Cl 0.750 0.750 0.750
Li 0.000 0.000 0.000

Output
VASP energy: -1.751 eV/atom
formation energy without anion corrections: 139 meV/atom

[6]
This record from Alexandria via LeMat-Bulk describes a relaxed CaLa2Br crystal. The functional is GGA-PBEsol.

a = 3.820 Å, b = 4.551 Å, c = 7.278 Å
α = 90.00°, β = 104.30°, γ = 90.00°
Fractional coordinates of all 4 atoms:
Br 0.852 0.000 0.580
La 0.064 0.000 0.024
La 0.682 0.500 0.214
Ca 0.402 0.500 0.682

Output
VASP energy: -4.134 eV/atom
formation energy without anion corrections: -460 meV/atom